## ZrCdAg2 (PBE)

Data for ZrCdAg2 after structural relaxation.

As for the total energy: -3.82 eV/atom.

```
data_ZrCdAg2
_symmetry_space_group_name_H-M 'P 1 2/m 1'
_symmetry_Int_Tables_number 10
_cell_length_a 3.022
_cell_length_b 4.035
_cell_length_c 6.504
_cell_angle_alpha 90.00
_cell_angle_beta 90.36
_cell_angle_gamma 90.00
loop_
_symmetry_equiv_pos_as_xyz
'x,y,z'
'-x,-y,-z'
'-x,y,-z'
'x,-y,z'
loop_
_atom_site_label
_atom_site_type_symbol
_atom_site_fract_x
_atom_site_fract_y
_atom_site_fract_z
Zr1 Zr 0.000 0.000 0.000
Cd1 Cd 0.000 0.000 0.500
Ag1 Ag 0.498 0.500 0.750
```